Compound: BaLaTa4
Source: Alexandria
Functional: PBE
Structure: optimized geometry

Values from the calculation:
Formation enthalpy at 0 K: 0.68 eV/atom
E_tot: -8.36 eV per atom

a = 8.3183 Å, b = 8.3183 Å, c = 8.3183 Å
α = 90.00°, β = 90.00°, γ = 90.00°
Closest atoms and distances in Å follow each position.
Space group F-43m (No. 216)
One atom of each set of equivalent atoms:
Ba 0.0000 0.0000 0.0000 [4 per cell]  12 Ta 3.46, 4 La 3.60
La 0.2500 0.2500 0.7500 [4 per cell]  12 Ta 3.44, 4 Ba 3.60
Ta 0.1217 0.1217 0.3783 [16 per cell]  6 Ta 2.86-3.02

Compound: AcY3Ho7
Source: Alexandria
Functional: PBE
Structure: optimized geometry

Values from the calculation:
Formation enthalpy at 0 K: 0.23 eV/atom
Energy relative to the lowest polymorph listed for this composition: 16.1 meV/atom
E_tot: -4.82 eV per atom

a = 6.5294 Å, b = 7.6197 Å, c = 7.6323 Å
α = 80.91°, β = 86.34°, γ = 86.41°
Closest atoms and distances in Å follow each position.
Space group P-1 (No. 2)
One atom of each set of equivalent atoms:
Ac 0.0000 0.0000 0.0000 [1 per cell]  4 Ho 3.26-3.52
Y 0.0000 0.5000 0.5000 [1 per cell]  6 Ho 3.50-3.63, 4 Y 3.68
Y 0.4996 0.3276 0.6723 [2 per cell]  7 Ho 3.24-3.57, 1 Y 3.41
Ho 0.2409 0.0752 0.4214 [2 per cell]  5 Ho 3.26-3.65, 3 Y 3.49-3.63
Ho 0.2410 0.4219 0.0754 [2 per cell]  5 Ho 3.26-3.65, 3 Y 3.49-3.63
Ho 0.3038 0.7348 0.7346 [2 per cell]  5 Ho 3.26-3.45, 3 Y 3.37-3.50, 1 Ac 3.52
Ho 0.5000 0.0000 0.0000 [1 per cell]  2 Y 3.24, 2 Ac 3.26, 2 Ho 3.43

Compound: AcNd2Pd
Source: Alexandria
Functional: PBE
Structure: optimized geometry

Values from the calculation:
Formation enthalpy at 0 K: -0.28 eV/atom
Energy relative to the lowest polymorph listed for this composition: 120.7 meV/atom
E_tot: -4.99 eV per atom

a = 4.0902 Å, b = 4.0902 Å, c = 28.9437 Å
α = 90.00°, β = 90.00°, γ = 120.00°
Closest atoms and distances in Å follow each position.
Space group R3m (No. 160, hexagonal axes)
One atom of each set of equivalent atoms:
Ac 0.0000 0.0000 0.0000 [3 per cell]  6 Nd 3.88-3.94, 6 Ac 4.09
Nd 0.0000 0.0000 0.2268 [3 per cell]  3 Pd 2.91
Nd 0.0000 0.0000 0.4423 [3 per cell]  3 Pd 2.92
Pd 0.0000 0.0000 0.8350 [3 per cell]  6 Nd 2.91-2.92

Compound: Na3AlSb3
Source: Alexandria
Functional: PBE
Structure: optimized geometry

Values from the calculation:
Formation energy without anion corrections: -1.55 eV/f.u.
E_tot: -3.09 eV per atom

a = 9.6268 Å, b = 10.2900 Å, c = 8.5947 Å
α = 90.00°, β = 91.89°, γ = 90.00°
Closest atoms and distances in Å follow each position.
Space group C2/m (No. 12)
One atom of each set of equivalent atoms:
Na 0.0000 0.1643 0.0000 [4 per cell]  4 Sb 3.12-3.41, 1 Na 3.38
Na 0.0000 0.2811 0.5000 [4 per cell]  4 Sb 3.24-3.56, 2 Al 3.35
Na 0.1108 0.5000 0.8716 [4 per cell]  5 Sb 2.98-3.33, 1 Na 3.12
Al 0.1380 0.0000 0.6272 [4 per cell]  4 Sb 2.68
Sb 0.1343 0.0000 0.3155 [4 per cell]  2 Al 2.68, 1 Na 2.98
Sb 0.1887 0.3474 0.2053 [8 per cell]  1 Al 2.68

Compound: Li2PmAgAu2
Source: Alexandria
Functional: PBE
Structure: optimized geometry

Values from the calculation:
Formation enthalpy at 0 K: -0.53 eV/atom
E_tot: -3.53 eV per atom

a = 4.5145 Å, b = 4.5145 Å, c = 6.6565 Å
α = 90.00°, β = 90.00°, γ = 120.00°
Closest atoms and distances in Å follow each position.
Space group P-3m1 (No. 164)
One atom of each set of equivalent atoms:
Li 0.3333 0.6667 0.1527 [2 per cell]  4 Au 2.66-2.68, 3 Ag 2.80
Pm 0.0000 0.0000 0.5000 [1 per cell]  6 Au 3.10, 2 Ag 3.33
Ag 0.0000 0.0000 0.0000 [1 per cell]  6 Li 2.80, 6 Au 3.08
Au 0.3333 0.6667 0.7532 [2 per cell]  4 Li 2.66-2.68

Compound: Pa2MnOs3
Source: Alexandria
Functional: PBE
Structure: optimized geometry

Values from the calculation:
Formation enthalpy at 0 K: -0.30 eV/atom
E_tot: -10.61 eV per atom

a = 5.4706 Å, b = 5.4706 Å, c = 8.1710 Å
α = 90.00°, β = 90.00°, γ = 120.00°
Closest atoms and distances in Å follow each position.
Space group P6_3/mmc (No. 194)
One atom of each set of equivalent atoms:
Pa 0.3333 0.6667 0.0736 [4 per cell]  1 Pa 2.88, 9 Os 3.07-3.09, 3 Mn 3.22
Mn 0.0000 0.0000 0.0000 [2 per cell]  6 Os 2.59
Os 0.1682 0.3363 0.7500 [6 per cell]  2 Mn 2.59, 4 Os 2.71-2.76

Compound: Ba2LaFe
Source: Alexandria
Functional: PBE
Structure: optimized geometry

Values from the calculation:
Formation enthalpy at 0 K: 0.32 eV/atom
Energy relative to the lowest polymorph listed for this composition: 11.6 meV/atom
E_tot: -3.99 eV per atom

a = 3.8715 Å, b = 3.8715 Å, c = 10.4385 Å
α = 90.00°, β = 90.00°, γ = 90.00°
Closest atoms and distances in Å follow each position.
Space group P4mm (No. 99)
One atom of each set of equivalent atoms:
Ba 0.0000 0.0000 0.0000 [1 per cell]  4 Ba 3.87, 4 La 4.21
Ba 0.5000 0.5000 0.3562 [1 per cell]  4 Fe 3.50, 1 La 3.53, 4 Ba 3.87
La 0.5000 0.5000 0.6939 [1 per cell]  4 Fe 3.05
Fe 0.0000 0.0000 0.5658 [1 per cell]  4 La 3.05

Compound: BeV3Cu
Source: Alexandria
Functional: PBE
Structure: optimized geometry

Values from the calculation:
Formation enthalpy at 0 K: 1.41 eV/atom
Energy relative to the lowest polymorph listed for this composition: 685.2 meV/atom
E_tot: -5.62 eV per atom

a = 4.3687 Å, b = 4.3687 Å, c = 4.3687 Å
α = 90.00°, β = 90.00°, γ = 90.00°
Closest atoms and distances in Å follow each position.
Space group Pm-3m (No. 221)
One atom of each set of equivalent atoms:
Be 0.0000 0.0000 0.0000 [1 per cell]  12 V 3.09
V 0.0000 0.5000 0.5000 [3 per cell]  2 Cu 2.18
Cu 0.5000 0.5000 0.5000 [1 per cell]  6 V 2.18

Compound: Cr4HgBr
Source: Alexandria
Functional: PBE
Structure: optimized geometry

Values from the calculation:
Formation energy without anion corrections: 5.62 eV/f.u.
E_tot: -5.81 eV per atom

a = 7.0905 Å, b = 7.0905 Å, c = 7.0905 Å
α = 90.00°, β = 90.00°, γ = 90.00°
Closest atoms and distances in Å follow each position.
Space group F-43m (No. 216)
One atom of each set of equivalent atoms:
Cr 0.1236 0.1236 0.1236 [16 per cell]  6 Cr 2.48-2.53
Hg 0.0000 0.0000 0.5000 [4 per cell]  12 Cr 2.94, 4 Br 3.07
Br 0.2500 0.2500 0.7500 [4 per cell]  12 Cr 2.94, 4 Hg 3.07

Compound: YPtSe2
Source: Alexandria
Functional: PBE
Structure: optimized geometry

Values from the calculation:
Formation energy without anion corrections: -3.60 eV/f.u.
E_tot: -5.77 eV per atom

a = 4.6371 Å, b = 4.6371 Å, c = 3.6391 Å
α = 90.00°, β = 90.00°, γ = 90.00°
Closest atoms and distances in Å follow each position.
Space group P4/mmm (No. 123)
One atom of each set of equivalent atoms:
Y 0.0000 0.0000 0.0000 [1 per cell]  8 Se 2.95, 4 Pt 3.28
Pt 0.5000 0.5000 0.0000 [1 per cell]  8 Se 2.95, 4 Y 3.28
Se 0.0000 0.5000 0.5000 [2 per cell]  4 Pt 2.95, 4 Y 2.95, 4 Se 3.28

Compound: SmGdTlGe
Source: Alexandria
Functional: PBE
Structure: optimized geometry

Values from the calculation:
Formation enthalpy at 0 K: -0.45 eV/atom
E_tot: -6.90 eV per atom

a = 7.4842 Å, b = 7.4842 Å, c = 7.4842 Å
α = 90.00°, β = 90.00°, γ = 90.00°
Closest atoms and distances in Å follow each position.
Space group F-43m (No. 216)
One atom of each set of equivalent atoms:
Sm 0.0000 0.0000 0.0000 [4 per cell]  4 Tl 3.24, 4 Ge 3.24
Gd 0.0000 0.0000 0.5000 [4 per cell]  4 Ge 3.24, 4 Tl 3.24
Tl 0.2500 0.2500 0.2500 [4 per cell]  4 Gd 3.24, 4 Sm 3.24
Ge 0.2500 0.2500 0.7500 [4 per cell]  4 Gd 3.24, 4 Sm 3.24

Compound: NaGa2P2
Source: Alexandria
Functional: PBE
Structure: optimized geometry

Values from the calculation:
Formation enthalpy at 0 K: 0.03 eV/atom
Energy relative to the lowest polymorph listed for this composition: 213.5 meV/atom
E_tot: -3.61 eV per atom

a = 7.2940 Å, b = 7.2940 Å, c = 3.4455 Å
α = 90.00°, β = 90.00°, γ = 90.00°
Closest atoms and distances in Å follow each position.
Space group P4/mbm (No. 127)
One atom of each set of equivalent atoms:
Na 0.0000 0.0000 0.0000 [2 per cell]  4 P 2.79
Ga 0.1412 0.3588 0.5000 [4 per cell]  6 P 2.71-2.79, 1 Ga 2.91
P 0.1458 0.6458 0.0000 [4 per cell]  6 Ga 2.71-2.79, 2 Na 2.79, 1 P 3.01

Compound: CaLaSbTe
Source: Alexandria
Functional: PBE
Structure: optimized geometry

Values from the calculation:
Formation energy without anion corrections: -5.63 eV/f.u.
E_tot: -4.96 eV per atom

a = 4.6140 Å, b = 4.6140 Å, c = 22.3297 Å
α = 90.00°, β = 90.00°, γ = 120.00°
Closest atoms and distances in Å follow each position.
Space group R3m (No. 160, hexagonal axes)
One atom of each set of equivalent atoms:
Ca 0.0000 0.0000 0.0000 [3 per cell]  3 Sb 3.21, 3 Te 3.28
La 0.0000 0.0000 0.4921 [3 per cell]  3 Sb 3.19, 3 Te 3.32
Sb 0.0000 0.0000 0.7466 [3 per cell]  3 La 3.19, 3 Ca 3.21
Te 0.0000 0.0000 0.2479 [3 per cell]  3 Ca 3.28, 3 La 3.32

Compound: NaZnGe
Source: Alexandria
Functional: PBE
Structure: optimized geometry

Values from the calculation:
Formation enthalpy at 0 K: -0.09 eV/atom
E_tot: -2.49 eV per atom

a = 10.2472 Å, b = 4.3847 Å, c = 7.3655 Å
α = 90.00°, β = 131.70°, γ = 90.00°
Closest atoms and distances in Å follow each position.
Space group C2/m (No. 12)
One atom of each set of equivalent atoms:
Na 0.0705 0.0000 0.3182 [4 per cell]  5 Ge 3.03-3.29, 6 Zn 3.17-3.30
Zn 0.1685 0.5000 0.0904 [4 per cell]  3 Ge 2.60-2.64, 1 Zn 2.75
Ge 0.1499 0.5000 0.7152 [4 per cell]  1 Ge 2.56, 3 Zn 2.60-2.64

Compound: Li5Ni3I12
Source: Alexandria
Functional: PBE
Structure: optimized geometry

Values from the calculation:
Formation energy without anion corrections: -9.92 eV/f.u.
E_tot: -2.77 eV per atom

a = 17.5915 Å, b = 17.5915 Å, c = 17.5915 Å
α = 90.00°, β = 90.00°, γ = 90.00°
Closest atoms and distances in Å follow each position.
Space group Ia-3d (No. 230)
One atom of each set of equivalent atoms:
Li 0.0000 0.0000 0.0000 [16 per cell]  6 I 2.97
Li 0.0000 0.2500 0.3750 [24 per cell]  4 I 3.15
Ni 0.0000 0.2500 0.1250 [24 per cell]  4 I 2.52
I 0.0231 0.0460 0.3394 [96 per cell]  1 Ni 2.52

Compound: Nd2Cd2Pt15
Source: Alexandria
Functional: PBE
Structure: optimized geometry

Values from the calculation:
Formation enthalpy at 0 K: -0.49 eV/atom
E_tot: -5.86 eV per atom

a = 9.3756 Å, b = 9.3756 Å, c = 13.5536 Å
α = 90.00°, β = 90.00°, γ = 120.00°
Closest atoms and distances in Å follow each position.
Space group R-3m (No. 166, hexagonal axes)
One atom of each set of equivalent atoms:
Nd 0.0000 0.0000 0.1491 [6 per cell]  12 Pt 3.22-3.42, 1 Cd 3.39
Cd 0.0000 0.0000 0.3992 [6 per cell]  1 Cd 2.73, 6 Pt 2.85-2.92
Pt 0.0000 0.3156 0.5000 [18 per cell]  8 Pt 2.70-2.96
Pt 0.0000 0.5000 0.0000 [9 per cell]  8 Pt 2.70-2.73, 2 Cd 2.85
Pt 0.0043 0.5021 0.6583 [18 per cell]  8 Pt 2.68-2.80, 1 Cd 2.92

Compound: BaAgN
Source: Alexandria
Functional: PBE
Structure: optimized geometry

Values from the calculation:
Formation energy without anion corrections: -0.07 eV/f.u.
E_tot: -4.39 eV per atom

a = 4.1112 Å, b = 5.7861 Å, c = 6.6567 Å
α = 104.18°, β = 107.90°, γ = 90.10°
Closest atoms and distances in Å follow each position.
Space group P1 (No. 1)
One atom of each set of equivalent atoms:
Ba 0.0000 0.0000 0.0000 [1 per cell]  4 N 2.74-3.07
Ba 0.1716 0.6607 0.3477 [1 per cell]  3 N 2.75-2.80
Ag 0.4267 0.4763 0.8552 [1 per cell]  2 N 2.08
Ag 0.7764 0.2141 0.5551 [1 per cell]  2 N 2.07-2.24
N 0.6334 0.9419 0.2684 [1 per cell]  1 Ag 2.07
N 0.9471 0.4515 0.8965 [1 per cell]  3 Ag 2.08-2.24

Compound: Th4PdC2S
Source: Alexandria
Functional: PBE
Structure: optimized geometry

Values from the calculation:
Formation energy without anion corrections: -6.50 eV/f.u.
E_tot: -7.99 eV per atom

a = 6.7269 Å, b = 3.8176 Å, c = 7.1783 Å
α = 90.00°, β = 107.90°, γ = 90.00°
Closest atoms and distances in Å follow each position.
Space group P2/m (No. 10)
One atom of each set of equivalent atoms:
Th 0.2350 0.0000 0.2096 [2 per cell]  3 C 2.64-2.66
Th 0.2621 0.5000 0.7887 [2 per cell]  3 C 2.65-2.66
Pd 0.5000 0.5000 0.5000 [1 per cell]  6 Th 2.98
C 0.0000 0.5000 0.0000 [1 per cell]  6 Th 2.64-2.66
C 0.5000 0.0000 0.0000 [1 per cell]  6 Th 2.65-2.66
S 0.0000 0.0000 0.5000 [1 per cell]  6 Th 2.97-2.98

Compound: BaCdCl4
Source: Alexandria
Functional: PBE
Structure: optimized geometry

Values from the calculation:
Formation energy without anion corrections: -10.50 eV/f.u.
Energy relative to the lowest polymorph listed for this composition: 57.1 meV/atom
E_tot: -3.45 eV per atom

a = 7.5974 Å, b = 7.2412 Å, c = 7.1139 Å
α = 90.00°, β = 104.61°, γ = 90.00°
Closest atoms and distances in Å follow each position.
Space group Cm (No. 8)
One atom of each set of equivalent atoms:
Ba 0.0000 0.0000 0.0000 [2 per cell]  8 Cl 3.20-3.21
Cd 0.0006 0.5000 0.4997 [2 per cell]  4 Cl 2.57
Cl 0.1801 0.2566 0.7335 [4 per cell]  1 Cd 2.57
Cl 0.3200 0.2434 0.2666 [4 per cell]  1 Cd 2.57

Compound: In3SnBi2
Source: Alexandria
Functional: PBE
Structure: optimized geometry

Values from the calculation:
Formation enthalpy at 0 K: 0.06 eV/atom
Energy relative to the lowest polymorph listed for this composition: 0.0 meV/atom
E_tot: -3.27 eV per atom

a = 7.7494 Å, b = 9.4985 Å, c = 9.8279 Å
α = 90.00°, β = 96.79°, γ = 90.00°
Closest atoms and distances in Å follow each position.
Space group C2/c (No. 15)
One atom of each set of equivalent atoms:
In 0.0000 0.1142 0.2500 [4 per cell]  4 Bi 3.32-3.50, 4 In 3.43-3.54, 1 Sn 3.46
In 0.2383 0.4130 0.0202 [8 per cell]  2 In 3.13-3.43, 2 Sn 3.14-3.22, 2 Bi 3.30-3.42
Sn 0.0000 0.4784 0.2500 [4 per cell]  5 In 3.14-3.46, 4 Bi 3.34-3.48
Bi 0.1480 0.2052 0.6281 [8 per cell]  2 Bi 3.24-3.51, 4 In 3.30-3.50, 2 Sn 3.34-3.48